1.
Compound: Sr4ZnIn3
Source: the Alexandria database
Functional: GGA-PBE
Structure: relaxed

Geometry as POSCAR:
```
Sr4ZnIn3
1.0
4.029 0.000 0.000
0.000 4.029 0.000
0.000 0.000 16.242
Sr Zn In
4 1 3
direct
0.000 0.000 0.119
0.000 0.000 0.373
0.000 0.000 0.627
0.000 0.000 0.881
0.500 0.500 0.000
0.500 0.500 0.247
0.500 0.500 0.500
0.500 0.500 0.753
```

***

2.
Compound: Sr5Zn2In
Source: the Alexandria database
Functional: GGA-PBE
Structure: relaxed

Geometry as POSCAR:
```
Sr5Zn2In
1.0
-4.202 4.202 8.466
4.202 -4.202 8.466
4.202 4.202 -8.466
Sr Zn In
10 4 2
direct
0.000 0.000 0.000
0.032 0.532 0.855
0.177 0.032 0.500
0.323 0.823 0.855
0.468 0.323 0.500
0.500 0.500 0.000
0.532 0.677 0.500
0.677 0.177 0.145
0.823 0.968 0.500
0.968 0.468 0.145
0.107 0.393 0.500
0.393 0.893 0.286
0.607 0.107 0.714
0.893 0.607 0.500
0.250 0.250 0.000
0.750 0.750 0.000
```

***

| no. | M_tot (μB per cell) | DFT total energy (eV/atom) |
| --- | --- | --- |
| 1 | 0.00 | -2.392 |
| 2 | 0.00 | -1.942 |